1.
Computed, not measured: a PBEsol-optimized structure of Co2NiMo at the SCAN level of DFT.

Properties
Excess energy over the best structure of this formula in the dataset in eV/atom: 0.000
Formation enthalpy at 0 K in meV per atom: 90

Cell and atoms, written as CIF:
```
data_Co2NiMo
_cell_length_a 3.524
_cell_length_b 3.524
_cell_length_c 7.251
_cell_angle_alpha 90.00
_cell_angle_beta 90.00
_cell_angle_gamma 90.00
_space_group_name_H-M_alt 'I -4 m 2'
_space_group_IT_number 119
_space_group_name_Hall 'I -4 -2'
loop_
_atom_site_label
_atom_site_type_symbol
_atom_site_fract_x
_atom_site_fract_y
_atom_site_fract_z
_atom_site_occupancy
Co1 Co 0.000 0.000 0.000 1
Co2 Co 0.000 0.500 0.250 1
Ni1 Ni 0.000 0.000 0.500 1
Mo1 Mo 0.000 0.500 0.750 1
```

***

2.
Computed, not measured: a PBEsol-optimized structure of Al2GeH2O6 at the SCAN level of DFT.

Properties
Energy in eV per atom: -9.504

Cell and atoms, written as CIF:
```
data_Al2GeH2O6
_cell_length_a 5.292
_cell_length_b 8.461
_cell_length_c 8.968
_cell_angle_alpha 90.00
_cell_angle_beta 101.87
_cell_angle_gamma 90.00
_space_group_name_H-M_alt 'C 1 2/c 1'
_space_group_IT_number 15
loop_
_space_group_symop_operation_xyz
'x,y,z'
'-x,-y,-z'
'-x,y,-z+1/2'
'x,-y,z+1/2'
'x+1/2,y+1/2,z'
'-x+1/2,-y+1/2,-z'
'-x+1/2,y+1/2,-z+1/2'
'x+1/2,-y+1/2,z+1/2'
loop_
_atom_site_label
_atom_site_type_symbol
_atom_site_fract_x
_atom_site_fract_y
_atom_site_fract_z
_atom_site_occupancy
Al1 Al 0.079 0.135 0.414 1
Ge1 Ge 0.000 0.221 0.750 1
H1 H 0.076 0.401 0.048 1
O1 O 0.073 0.090 0.910 1
O2 O 0.092 0.348 0.462 1
O3 O 0.228 0.156 0.237 1
```

***

3.
Computed, not measured: a PBEsol-optimized structure of K2NbMo at the SCAN level of DFT.

Properties
Formation enthalpy at 0 K in meV per atom: 2108

Cell and atoms, written as CIF:
```
data_K2NbMo
_cell_length_a 8.195
_cell_length_b 8.195
_cell_length_c 8.195
_cell_angle_alpha 90.00
_cell_angle_beta 90.00
_cell_angle_gamma 90.00
_space_group_name_H-M_alt 'F m -3 m'
_space_group_IT_number 225
_space_group_name_Hall '-F 4 2 3'
loop_
_atom_site_label
_atom_site_type_symbol
_atom_site_fract_x
_atom_site_fract_y
_atom_site_fract_z
_atom_site_occupancy
K1 K 0.250 0.250 0.250 1
Nb1 Nb 0.000 0.000 0.000 1
Mo1 Mo 0.000 0.000 0.500 1
```

***

4.
Computed, not measured: a PBEsol-optimized structure of SrHgBiS2 at the SCAN level of DFT.

Properties
Formation energy without anion corrections in kJ/mol of formula units: -220

Cell and atoms, written as CIF:
```
data_SrHgBiS2
_cell_length_a 5.396
_cell_length_b 5.396
_cell_length_c 5.409
_cell_angle_alpha 90.00
_cell_angle_beta 90.00
_cell_angle_gamma 90.00
_space_group_name_H-M_alt 'P 4/m m m'
_space_group_IT_number 123
_space_group_name_Hall '-P 4 2'
loop_
_atom_site_label
_atom_site_type_symbol
_atom_site_fract_x
_atom_site_fract_y
_atom_site_fract_z
_atom_site_occupancy
Sr1 Sr 0.000 0.000 0.000 1
Hg1 Hg 0.500 0.500 0.000 1
Bi1 Bi 0.500 0.500 0.500 1
S1 S 0.000 0.500 0.500 1
```

***

5.
Computed, not measured: a PBEsol-optimized structure of CaZr2Ni at the SCAN level of DFT.

Properties
Excess energy over the best structure of this formula in the dataset in eV/atom: 0.000
Formation enthalpy at 0 K in meV per atom: 105

Cell and atoms, written as CIF:
```
data_CaZr2Ni
_cell_length_a 10.728
_cell_length_b 3.155
_cell_length_c 5.909
_cell_angle_alpha 90.00
_cell_angle_beta 120.58
_cell_angle_gamma 90.00
_space_group_name_H-M_alt 'C 1 m 1'
_space_group_IT_number 8
loop_
_space_group_symop_operation_xyz
'x,y,z'
'x,-y,z'
'x+1/2,y+1/2,z'
'x+1/2,-y+1/2,z'
loop_
_atom_site_label
_atom_site_type_symbol
_atom_site_fract_x
_atom_site_fract_y
_atom_site_fract_z
_atom_site_occupancy
Ca1 Ca 0.000 0.000 0.000 1
Zr1 Zr 0.176 0.000 0.628 1
Zr2 Zr 0.389 0.000 0.405 1
Ni1 Ni 0.224 0.500 0.007 1
```

***

6.
Computed, not measured: a PBEsol-optimized structure of KLi4Mo at the SCAN level of DFT.

Properties
Formation enthalpy at 0 K in meV per atom: 642

Cell and atoms, written as CIF:
```
data_KLi4Mo
_cell_length_a 8.243
_cell_length_b 8.243
_cell_length_c 8.243
_cell_angle_alpha 90.00
_cell_angle_beta 90.00
_cell_angle_gamma 90.00
_space_group_name_H-M_alt 'F -4 3 m'
_space_group_IT_number 216
_space_group_name_Hall 'F -4 2 3'
loop_
_atom_site_label
_atom_site_type_symbol
_atom_site_fract_x
_atom_site_fract_y
_atom_site_fract_z
_atom_site_occupancy
K1 K 0.000 0.000 0.000 1
Li1 Li 0.122 0.122 0.378 1
Mo1 Mo 0.250 0.250 0.750 1
```

***

7.
Computed, not measured: a PBEsol-optimized structure of RbMgBiAs2 at the SCAN level of DFT.

Properties
Formation enthalpy at 0 K in meV per atom: 380

Cell and atoms, written as CIF:
```
data_RbMgBiAs2
_cell_length_a 5.625
_cell_length_b 5.625
_cell_length_c 5.539
_cell_angle_alpha 90.00
_cell_angle_beta 90.00
_cell_angle_gamma 90.00
_space_group_name_H-M_alt 'P 4/m m m'
_space_group_IT_number 123
_space_group_name_Hall '-P 4 2'
loop_
_atom_site_label
_atom_site_type_symbol
_atom_site_fract_x
_atom_site_fract_y
_atom_site_fract_z
_atom_site_occupancy
Rb1 Rb 0.000 0.000 0.000 1
Mg1 Mg 0.500 0.500 0.000 1
Bi1 Bi 0.500 0.500 0.500 1
As1 As 0.000 0.500 0.500 1
```

***

8.
Computed, not measured: a PBEsol-optimized structure of LiY2PtC at the SCAN level of DFT.

Properties
Formation enthalpy at 0 K in meV per atom: 555

Cell and atoms, written as CIF:
```
data_LiY2PtC
_cell_length_a 5.206
_cell_length_b 5.206
_cell_length_c 4.325
_cell_angle_alpha 90.00
_cell_angle_beta 90.00
_cell_angle_gamma 90.00
_space_group_name_H-M_alt 'P 4/m m m'
_space_group_IT_number 123
_space_group_name_Hall '-P 4 2'
loop_
_atom_site_label
_atom_site_type_symbol
_atom_site_fract_x
_atom_site_fract_y
_atom_site_fract_z
_atom_site_occupancy
Li1 Li 0.000 0.000 0.000 1
Y1 Y 0.000 0.500 0.500 1
Pt1 Pt 0.000 0.000 0.500 1
C1 C 0.500 0.500 0.000 1
```

***

9.
Computed, not measured: a PBEsol-optimized structure of Te2OsAu2 at the SCAN level of DFT.

Properties
Formation energy without anion corrections in kJ/mol of formula units: 475

Cell and atoms, written as CIF:
```
data_Te2OsAu2
_cell_length_a 5.324
_cell_length_b 5.324
_cell_length_c 7.802
_cell_angle_alpha 90.00
_cell_angle_beta 90.00
_cell_angle_gamma 90.00
_space_group_name_H-M_alt 'I 4/m m m'
_space_group_IT_number 139
_space_group_name_Hall '-I 4 2'
loop_
_atom_site_label
_atom_site_type_symbol
_atom_site_fract_x
_atom_site_fract_y
_atom_site_fract_z
_atom_site_occupancy
Te1 Te 0.000 0.500 0.250 1
Os1 Os 0.000 0.000 0.000 1
Au1 Au 0.000 0.000 0.336 1
```

***

10.
Computed, not measured: a PBEsol-optimized structure of DyB4Mo at the SCAN level of DFT.

Properties
Formation enthalpy at 0 K in meV per atom: -675

Cell and atoms, written as CIF:
```
data_DyB4Mo
_cell_length_a 5.993
_cell_length_b 11.582
_cell_length_c 3.578
_cell_angle_alpha 90.00
_cell_angle_beta 90.00
_cell_angle_gamma 90.00
_space_group_name_H-M_alt 'P b a m'
_space_group_IT_number 55
loop_
_space_group_symop_operation_xyz
'x,y,z'
'-x,-y,-z'
'-x,-y,z'
'x,y,-z'
'x+1/2,-y+1/2,-z'
'-x+1/2,y+1/2,z'
'-x+1/2,y+1/2,-z'
'x+1/2,-y+1/2,z'
loop_
_atom_site_label
_atom_site_type_symbol
_atom_site_fract_x
_atom_site_fract_y
_atom_site_fract_z
_atom_site_occupancy
Dy1 Dy 0.127 0.150 0.000 1
B1 B 0.023 0.694 0.500 1
B2 B 0.114 0.548 0.500 1
B3 B 0.133 0.968 0.500 1
B4 B 0.213 0.814 0.500 1
Mo1 Mo 0.129 0.417 0.000 1
```

***

11.
Computed, not measured: a PBEsol-optimized structure of LiSbTe2Pb at the SCAN level of DFT.

Properties
Formation energy without anion corrections in kJ/mol of formula units: 197

Cell and atoms, written as CIF:
```
data_LiSbTe2Pb
_cell_length_a 5.898
_cell_length_b 5.898
_cell_length_c 5.674
_cell_angle_alpha 90.00
_cell_angle_beta 90.00
_cell_angle_gamma 90.00
_space_group_name_H-M_alt 'P 4/m m m'
_space_group_IT_number 123
_space_group_name_Hall '-P 4 2'
loop_
_atom_site_label
_atom_site_type_symbol
_atom_site_fract_x
_atom_site_fract_y
_atom_site_fract_z
_atom_site_occupancy
Li1 Li 0.000 0.000 0.000 1
Sb1 Sb 0.500 0.500 0.000 1
Te1 Te 0.000 0.500 0.500 1
Pb1 Pb 0.500 0.500 0.500 1
```

***

12.
Computed, not measured: a PBEsol-optimized structure of Hf2CoH at the SCAN level of DFT.

Properties
Excess energy over the best structure of this formula in the dataset in eV/atom: 0.000

Cell and atoms, written as CIF:
```
data_Hf2CoH
_cell_length_a 5.894
_cell_length_b 5.894
_cell_length_c 6.382
_cell_angle_alpha 90.00
_cell_angle_beta 90.00
_cell_angle_gamma 90.00
_space_group_name_H-M_alt 'I -4 2 d'
_space_group_IT_number 122
_space_group_name_Hall 'I -4 2bw'
loop_
_atom_site_label
_atom_site_type_symbol
_atom_site_fract_x
_atom_site_fract_y
_atom_site_fract_z
_atom_site_occupancy
Hf1 Hf 0.192 0.250 0.125 1
Co1 Co 0.000 0.000 0.500 1
H1 H 0.000 0.000 0.000 1
```

***

| no. | calculated volume (Å³ per cell) | total moment (μB/f.u.) |
| --- | --- | --- |
| 1 | 90.0 | 2.38 |
| 2 | 393.0 | 0.00 |
| 3 | 550.4 | 10.23 |
| 4 | 157.5 | 0.00 |
| 5 | 172.2 | 0.00 |
| 6 | 560.0 | 4.68 |
| 7 | 175.2 | 0.00 |
| 8 | 117.2 | 0.00 |
| 9 | 221.2 | 0.00 |
| 10 | 248.4 | 0.00 |
| 11 | 197.4 | 1.18 |
| 12 | 221.7 | 0.00 |